{
  "formula": "Tb5PrSb4",
  "functional": "PBE",
  "state": "relaxed",
  "dft_energy_ev_per_atom": -5.181,
  "rho_g_cm3": 6.97,
  "crystal_system": "monoclinic",
  "formation_energy_uncorrected_ev_per_atom": -0.738,
  "cell": [[-1.5527, -3.8981, 1.2041], [7.8479, -3.3398, -0.6919], [-0.0243, 5.0173, 8.2985]],
  "species": ["Sb", "Pr", "Tb", "Tb", "Tb", "Sb", "Tb", "Sb", "Tb", "Sb"],
  "frac_coords": [[0.3269, 0.9078, 0.6538], [0.5000, 0.0000, 0.0000], [0.5000, 0.5000, 0.0000], [0.1777, 0.3488, 0.3555], [0.8392, 0.1716, 0.6784], [0.6731, 0.0922, 0.3462], [0.8223, 0.6512, 0.6445], [0.0096, 0.2658, 0.0192], [0.1608, 0.8284, 0.3216], [0.9904, 0.7342, 0.9808]]
}

---

{
  "formula": "TbPr3Sb3",
  "functional": "PBE",
  "state": "relaxed",
  "dft_energy_ev_per_atom": -5.523,
  "e_above_lowest_polymorph_kj_per_mol_fu": 0,
  "rho_g_cm3": 7.32,
  "crystal_system": "cubic",
  "formation_energy_uncorrected_ev_per_atom": -1.046,
  "cell": [[9.5057, 0.0000, 0.0000], [0.0000, 9.5057, 0.0000], [0.0000, 0.0000, 9.5057]],
  "species": ["Sb", "Sb", "Pr", "Pr", "Pr", "Tb", "Sb", "Pr", "Sb", "Sb", "Tb", "Sb", "Sb", "Pr", "Sb", "Tb", "Pr", "Pr", "Pr", "Sb", "Sb", "Sb", "Sb", "Pr", "Pr", "Pr", "Pr", "Tb"],
  "frac_coords": [[0.8716, 0.0018, 0.2559], [0.1284, 0.5018, 0.2441], [0.4329, 0.5671, 0.0671], [0.5671, 0.0671, 0.4329], [0.3225, 0.1775, 0.8225], [0.4283, 0.4283, 0.4283], [0.2559, 0.8716, 0.0018], [0.8225, 0.3225, 0.1775], [0.2441, 0.1284, 0.5018], [0.0018, 0.2559, 0.8716], [0.9283, 0.0717, 0.5717], [0.5018, 0.2441, 0.1284], [0.7559, 0.6284, 0.9982], [0.6795, 0.3205, 0.8205], [0.4982, 0.7441, 0.3716], [0.5717, 0.9283, 0.0717], [0.3205, 0.8205, 0.6795], [0.6775, 0.6775, 0.6775], [0.8205, 0.6795, 0.3205], [0.7441, 0.3716, 0.4982], [0.9982, 0.7559, 0.6284], [0.3716, 0.4982, 0.7441], [0.6284, 0.9982, 0.7559], [0.1775, 0.8225, 0.3225], [0.0671, 0.4329, 0.5671], [0.9329, 0.9329, 0.9329], [0.1795, 0.1795, 0.1795], [0.0717, 0.5717, 0.9283]]
}

---

{
  "formula": "TbPrSb",
  "functional": "PBE",
  "state": "relaxed",
  "dft_energy_ev_per_atom": -5.163,
  "rho_g_cm3": 8.01,
  "crystal_system": "tetragonal",
  "formation_energy_uncorrected_ev_per_atom": -0.652,
  "cell": [[4.1132, 0.0000, 0.0000], [0.0000, 4.1132, 0.0000], [-2.0566, -2.0566, 5.1639]],
  "species": ["Pr", "Sb", "Tb"],
  "frac_coords": [[0.9602, 0.9602, 0.9205], [0.6231, 0.6231, 0.2461], [0.2667, 0.2667, 0.5334]]
}

---

{
  "formula": "TbPr5Sb6",
  "functional": "PBE",
  "state": "relaxed",
  "dft_energy_ev_per_atom": -5.620,
  "rho_g_cm3": 6.70,
  "crystal_system": "monoclinic",
  "formation_energy_uncorrected_ev_per_atom": -1.181,
  "cell": [[-2.9743, 7.0164, 1.8933], [-5.4816, -0.8876, 5.5498], [2.0127, 0.2734, 7.5846]],
  "species": ["Pr", "Sb", "Sb", "Sb", "Sb", "Sb", "Pr", "Pr", "Pr", "Pr", "Sb", "Tb"],
  "frac_coords": [[0.0000, 0.6661, 0.6678], [0.7539, 0.4101, 0.6718], [0.2479, 0.2452, 0.0000], [0.2461, 0.9182, 0.6718], [0.7539, 0.0818, 0.3282], [0.7521, 0.7548, 0.0000], [0.0000, 0.3339, 0.3322], [0.5000, 0.5000, 0.0000], [0.5000, 0.1685, 0.6630], [0.5000, 0.8315, 0.3370], [0.2461, 0.5899, 0.3282], [0.0000, 0.0000, 0.0000]]
}

---

{
  "formula": "TbPr3Sb2",
  "functional": "PBE",
  "state": "relaxed",
  "dft_energy_ev_per_atom": -5.158,
  "e_above_lowest_polymorph_kj_per_mol_fu": 119,
  "rho_g_cm3": 6.42,
  "crystal_system": "orthorhombic",
  "formation_energy_uncorrected_ev_per_atom": -0.622,
  "cell": [[7.2833, 0.0000, 0.0000], [0.0000, 7.9962, 0.0000], [-3.6416, -3.9981, 7.3267]],
  "species": ["Pr", "Pr", "Pr", "Pr", "Pr", "Tb", "Tb", "Sb", "Sb", "Pr", "Sb", "Sb"],
  "frac_coords": [[0.2096, 0.9596, 0.4192], [0.5000, 0.2500, 0.0000], [0.7904, 0.5404, 0.5808], [0.7904, 0.0404, 0.5808], [0.5000, 0.7500, 0.0000], [0.0000, 0.5000, 0.0000], [0.0000, 0.0000, 0.0000], [0.8259, 0.1443, 0.2885], [0.5373, 0.3557, 0.7115], [0.2096, 0.4596, 0.4192], [0.4627, 0.6443, 0.2885], [0.1741, 0.8557, 0.7115]]
}

---

{
  "formula": "TbPr5Sb4",
  "functional": "PBE",
  "state": "relaxed",
  "dft_energy_ev_per_atom": -5.300,
  "rho_g_cm3": 6.20,
  "crystal_system": "monoclinic",
  "formation_energy_uncorrected_ev_per_atom": -0.799,
  "cell": [[-1.0452, -3.2036, -2.8744], [6.4779, 2.6165, -5.2716], [4.5521, -4.9503, 7.2745]],
  "species": ["Pr", "Sb", "Pr", "Sb", "Sb", "Pr", "Pr", "Tb", "Pr", "Sb"],
  "frac_coords": [[0.8273, 0.6528, 0.6547], [0.0049, 0.2482, 0.0097], [0.1649, 0.8291, 0.3299], [0.6667, 0.0879, 0.3334], [0.3333, 0.9121, 0.6666], [0.5000, 0.5000, 0.0000], [0.1727, 0.3472, 0.3453], [0.5000, 0.0000, 0.0000], [0.8351, 0.1709, 0.6701], [0.9951, 0.7518, 0.9903]]
}